Entry w
# Tl4SnSe4 | Alexandria via LeMat-Bulk | GGA-PBE | relaxed
# Mass density   6.017 g/cm³
data_Tl4SnSe4
_chemical_formula_sum 'Tl8 Sn2 Se8'
_cell_length_a 7.809
_cell_length_b 7.809
_cell_length_c 11.334
_cell_angle_alpha 90.00
_cell_angle_beta 90.00
_cell_angle_gamma 90.00
_space_group_name_H-M_alt 'I -4 2 m'
_space_group_IT_number 121
_space_group_name_Hall 'I -4 2'
loop_
_atom_site_label
_atom_site_fract_x
_atom_site_fract_y
_atom_site_fract_z
Tl1 0.000 0.000 0.162
Tl2 0.000 0.500 0.000
Sn1 0.000 0.000 0.500
Se1 0.185 0.185 0.639

---

Entry x
# Tl4SnSe4 | Alexandria via LeMat-Bulk | GGA-PBE | relaxed
# N(E_F)   0.025 states/eV per atom
# Mass density   7.483 g/cm³
data_Tl4SnSe4
_chemical_formula_sum 'Tl8 Sn2 Se8'
_cell_length_a 14.553
_cell_length_b 4.147
_cell_length_c 10.910
_cell_angle_alpha 90.00
_cell_angle_beta 122.44
_cell_angle_gamma 90.00
_space_group_name_H-M_alt 'C 1 2/m 1'
_space_group_IT_number 12
loop_
_space_group_symop_operation_xyz
'x,y,z'
'-x,-y,-z'
'-x,y,-z'
'x,-y,z'
'x+1/2,y+1/2,z'
'-x+1/2,-y+1/2,-z'
'-x+1/2,y+1/2,-z'
'x+1/2,-y+1/2,z'
loop_
_atom_site_label
_atom_site_fract_x
_atom_site_fract_y
_atom_site_fract_z
Tl1 0.086 0.000 0.396
Tl2 0.187 0.500 0.767
Sn1 0.000 0.500 0.000
Se1 0.099 0.000 0.936
Se2 0.173 0.500 0.279

---

entry x has the most favorable energy; the next structure is 20 meV per atom above.

---

Entry w
# TlSnSe3 | Alexandria via LeMat-Bulk | GGA-PBE | relaxed
# N(E_F)   0.714 states/eV per atom
# Mass density   6.070 g/cm³
data_TlSnSe3
_chemical_formula_sum 'Tl1 Sn1 Se3'
_cell_length_a 5.351
_cell_length_b 5.351
_cell_length_c 5.351
_cell_angle_alpha 90.00
_cell_angle_beta 90.00
_cell_angle_gamma 90.00
_space_group_name_H-M_alt 'P m -3 m'
_space_group_IT_number 221
_space_group_name_Hall '-P 4 2 3'
loop_
_atom_site_label
_atom_site_fract_x
_atom_site_fract_y
_atom_site_fract_z
Tl1 0.000 0.000 0.000
Sn1 0.500 0.500 0.500
Se1 0.000 0.500 0.500

---

Entry x
# TlSnSe3 | Alexandria via LeMat-Bulk | GGA-PBE | relaxed
# N(E_F)   0.715 states/eV per atom
# Mass density   6.153 g/cm³
data_TlSnSe3
_chemical_formula_sum 'Tl6 Sn6 Se18'
_cell_length_a 7.0995
_cell_length_b 7.0995
_cell_length_c 20.7717
_cell_angle_alpha 90.00
_cell_angle_beta 90.00
_cell_angle_gamma 120.00
_space_group_name_H-M_alt 'R 3 2'
_space_group_IT_number 155
_space_group_name_Hall 'R 3 2"'
loop_
_atom_site_label
_atom_site_fract_x
_atom_site_fract_y
_atom_site_fract_z
Tl1 0.0000 0.0000 0.1336
Sn1 0.0000 0.0000 0.3338
Se1 0.0035 0.4078 0.9162

---

entry x has the most favorable energy; the next structure is 107 meV per atom above.

---

Entry w
# TlSn2Se4 | Alexandria via LeMat-Bulk | GGA-PBE | relaxed
# N(E_F)   0.409 states/eV per atom
# Mass density   6.419 g/cm³
data_TlSn2Se4
_chemical_formula_sum 'Tl3 Sn6 Se12'
_cell_length_a 3.9971
_cell_length_b 3.9971
_cell_length_c 42.4946
_cell_angle_alpha 90.00
_cell_angle_beta 90.00
_cell_angle_gamma 120.00
_space_group_name_H-M_alt 'R -3 m'
_space_group_IT_number 166
_space_group_name_Hall '-R 3 2"'
loop_
_atom_site_label
_atom_site_fract_x
_atom_site_fract_y
_atom_site_fract_z
Tl1 0.0000 0.0000 0.0000
Sn1 0.0000 0.0000 0.4267
Se1 0.0000 0.0000 0.1295
Se2 0.0000 0.0000 0.2800

---

Entry x
# TlSn2Se4 | Alexandria via LeMat-Bulk | GGA-PBE | relaxed
# N(E_F)   0.333 states/eV per atom
# Mass density   6.507 g/cm³
data_TlSn2Se4
_chemical_formula_sum 'Tl4 Sn8 Se16'
_cell_length_a 4.084
_cell_length_b 13.784
_cell_length_c 13.739
_cell_angle_alpha 90.00
_cell_angle_beta 90.00
_cell_angle_gamma 90.00
_space_group_name_H-M_alt 'C m c m'
_space_group_IT_number 63
_space_group_name_Hall '-C 2c 2'
loop_
_atom_site_label
_atom_site_fract_x
_atom_site_fract_y
_atom_site_fract_z
Tl1 0.000 0.093 0.250
Sn1 0.000 0.361 0.063
Se1 0.000 0.000 0.000
Se2 0.000 0.266 0.616
Se3 0.000 0.432 0.250

---

entry w has the most favorable energy; the next structure is 26 meV per atom above.